A plane-wave DFT calculation with GGA-PBE was carried out for a geometry-optimized La4Pm2Sn3H2 structure.

Cell: 13.5669 13.5669 13.5669 Å, 159.40 159.40 29.29°
Positions (direct):
La 0.0839 0.5839 0.5000
La 0.4161 0.9161 0.5000
La 0.5839 0.0839 0.5000
La 0.9161 0.4161 0.5000
Pm 0.2016 0.2016 0.0000
Pm 0.7984 0.7984 0.0000
Sn 0.3237 0.3237 0.0000
Sn 0.5000 0.5000 0.0000
Sn 0.6763 0.6763 0.0000
H 0.1078 0.1078 0.0000
H 0.8922 0.8922 0.0000

Values from the calculation:
- volume (Å³/f.u.) = 308.94
- space-group type = I4/mmm
- final energy (eV/atom) = -4.91